No. 1
Below is LiHf2Se2 after structural relaxation, with properties calculated at the PBE level.

abc: 7.358 7.358 3.463
angles: 90.00 90.00 90.00
Element x y z (fractional)
Li 0.000 0.000 0.000
Li 0.500 0.500 0.000
Hf 0.148 0.352 0.500
Hf 0.352 0.852 0.500
Hf 0.648 0.148 0.500
Hf 0.852 0.648 0.500
Se 0.148 0.648 0.000
Se 0.352 0.148 0.000
Se 0.648 0.852 0.000
Se 0.852 0.352 0.000

## Properties
- final energy (eV/atom) = -6.4546
- space-group type = P4/mbm

No. 2
Below is Zn2InC2 after structural relaxation, with properties calculated at the PBE level.

abc: 6.473 6.473 3.180
angles: 90.00 90.00 90.00
Element x y z (fractional)
Zn 0.135 0.365 0.000
Zn 0.365 0.865 0.000
Zn 0.635 0.135 0.000
Zn 0.865 0.635 0.000
In 0.000 0.000 0.500
In 0.500 0.500 0.500
C 0.185 0.685 0.500
C 0.315 0.185 0.500
C 0.685 0.815 0.500
C 0.815 0.315 0.500

## Properties
- space-group type = P4/mbm
- energy above the lowest structure with this stoichiometry (meV per atom) = 490.7
- E_form (eV per formula unit) = 7.5

No. 3
Below is Y2TaBr after structural relaxation, with properties calculated at the PBE level.

abc: 3.425 5.001 5.997
angles: 90.00 90.00 90.00
Element x y z (fractional)
Y 0.000 0.000 0.000
Y 0.500 0.000 0.500
Ta 0.000 0.500 0.500
Br 0.500 0.500 0.000

## Properties
- space-group type = Pmmm
- energy above the lowest structure with this stoichiometry (meV per atom) = 682.3

No. 4
Below is InAg3B after structural relaxation, with properties calculated at the PBE level.

abc: 4.478 4.478 4.478
angles: 90.00 90.00 90.00
Element x y z (fractional)
In 0.000 0.000 0.000
Ag 0.000 0.500 0.500
Ag 0.500 0.000 0.500
Ag 0.500 0.500 0.000
B 0.500 0.500 0.500

## Properties
- space-group type = Pm-3m
- energy above the lowest structure with this stoichiometry (meV per atom) = 0.0
- E_form (eV per formula unit) = 2.1

No. 5
Below is CoIr2Os after structural relaxation, with properties calculated at the PBE level.

abc: 4.650 4.650 4.650
angles: 132.02 132.02 70.20
Element x y z (fractional)
Co 0.000 0.000 0.000
Ir 0.250 0.750 0.500
Ir 0.750 0.250 0.500
Os 0.500 0.500 0.000

## Properties
- space-group type = I4/mmm
- energy above the lowest structure with this stoichiometry (meV per atom) = 22.1
- E_form (eV per formula unit) = 0.2

No. 6
Below is Tb8Y5Pu after structural relaxation, with properties calculated at the PBE level.

abc: 8.405 8.405 8.405
angles: 107.87 107.87 112.73
Element x y z (fractional)
Tb 0.143 0.260 0.798
Tb 0.192 0.791 0.893
Tb 0.209 0.102 0.401
Tb 0.462 0.345 0.202
Tb 0.655 0.857 0.117
Tb 0.701 0.808 0.599
Tb 0.740 0.538 0.883
Tb 0.898 0.299 0.107
Y 0.286 0.541 0.583
Y 0.296 0.714 0.254
Y 0.459 0.042 0.746
Y 0.750 0.250 0.500
Y 0.958 0.704 0.417
Pu 0.000 0.000 0.000

## Properties
- space-group type = I-4
- E_form (eV per formula unit) = 3.9

No. 7
Below is SrTi2FeI after structural relaxation, with properties calculated at the PBE level.

abc: 5.127 5.127 4.864
angles: 90.00 90.00 90.00
Element x y z (fractional)
Sr 0.000 0.000 0.000
Ti 0.000 0.500 0.500
Ti 0.500 0.000 0.500
Fe 0.500 0.500 0.000
I 0.500 0.500 0.500

## Properties
- final energy (eV/atom) = -4.5835
- space-group type = P4/mmm

No. 8
Below is HPd3S after structural relaxation, with properties calculated at the PBE level.

abc: 4.014 4.014 4.014
angles: 90.00 90.00 90.00
Element x y z (fractional)
H 0.000 0.000 0.000
Pd 0.000 0.000 0.500
Pd 0.000 0.500 0.000
Pd 0.500 0.000 0.000
S 0.500 0.500 0.500

## Properties
- space-group type = Pm-3m
- energy above the lowest structure with this stoichiometry (meV per atom) = 191.8

No. 9
Below is Ba2NbWAu after structural relaxation, with properties calculated at the PBE level.

abc: 6.039 6.039 5.045
angles: 90.00 90.00 90.00
Element x y z (fractional)
Ba 0.000 0.500 0.000
Ba 0.500 0.000 0.000
Nb 0.000 0.000 0.500
W 0.500 0.500 0.000
Au 0.500 0.500 0.500

## Properties
- space-group type = P4/mmm
- E_form (eV per formula unit) = 7.8

No. 10
Below is GaCoGe after structural relaxation, with properties calculated at the PBE level.

abc: 3.998 3.998 3.998
angles: 60.00 60.00 60.00
Element x y z (fractional)
Ga 0.000 0.000 0.000
Co 0.250 0.250 0.250
Ge 0.500 0.500 0.500

## Properties
- space-group type = F-43m
- energy above the lowest structure with this stoichiometry (meV per atom) = 17.4
- E_form (eV per formula unit) = -0.5

No. 11
Below is Tl2InBi after structural relaxation, with properties calculated at the PBE level.

abc: 7.239 7.239 7.239
angles: 143.81 143.52 52.33
Element x y z (fractional)
Tl 0.246 0.246 0.000
Tl 0.754 0.754 0.000
In 0.500 0.500 0.000
Bi 0.000 0.000 0.000

## Properties
- space-group type = Immm
- energy above the lowest structure with this stoichiometry (meV per atom) = 97.4
- E_form (eV per formula unit) = 0.4

No. 12
Below is SbBr5 after structural relaxation, with properties calculated at the PBE level.

abc: 6.167 6.167 6.167
angles: 60.00 60.00 60.00
Element x y z (fractional)
Sb 0.000 0.000 0.000
Br 0.375 0.375 0.375
Br 0.375 0.375 0.874
Br 0.375 0.874 0.375
Br 0.750 0.750 0.750
Br 0.874 0.375 0.375

## Properties
- final energy (eV/atom) = -1.4951
- space-group type = F-43m